Computed, not measured: a geometry-optimized CaErAu4 structure at the PBE-GGA level of DFT.

Properties
Energy   -22.9 eV per cell
Symmetry   P4/mmm (123)
Formation energy   -0.543 eV/atom

abc: 3.9703 3.9703 9.2160
angles: 90.00 90.00 90.00
Closest atoms and distances in Å follow each position.
Sites, in units of the cell vectors:
1 Ca 0.0000 0.0000 0.0000  8 Au 3.11
2 Er 0.5000 0.5000 0.5000  8 Au 2.97
3 Au 0.0000 0.5000 0.2599  4 Au 2.81, 2 Er 2.97, 2 Ca 3.11
4 Au 0.0000 0.5000 0.7401  4 Au 2.81, 2 Er 2.97, 2 Ca 3.11
5 Au 0.5000 0.0000 0.2599  4 Au 2.81, 2 Er 2.97, 2 Ca 3.11
6 Au 0.5000 0.0000 0.7401  4 Au 2.81, 2 Er 2.97, 2 Ca 3.11